[1]
Here is a geometry-optimized Nd6Bi5 structure from Alexandria via LeMat-Bulk. Energies are from PBE.

Unit cell a=7.887 b=7.887 c=7.931 alpha=99.61 beta=99.61 gamma=119.92
Positions (direct):
Nd  0.082  0.416  0.248
Nd  0.250  0.250  0.745
Nd  0.416  0.082  0.248
Nd  0.584  0.918  0.752
Nd  0.750  0.750  0.255
Nd  0.918  0.584  0.752
Bi  0.169  0.831  0.500
Bi  0.334  0.666  0.000
Bi  0.500  0.500  0.500
Bi  0.666  0.334  0.000
Bi  0.831  0.169  0.500

## Properties
energy relative to the elements	-782	meV/atom
N(E_F)	7.51	states/eV per cell
energy	-56.61	eV/cell

***

[2]
Here is a geometry-optimized Zr2TlW structure from Alexandria via LeMat-Bulk. Energies are from PBE.

Unit cell a=6.924 b=6.924 c=6.924 alpha=90.00 beta=90.00 gamma=90.00
Positions (direct):
Zr  0.250  0.250  0.250
Zr  0.250  0.250  0.750
Zr  0.250  0.750  0.250
Zr  0.250  0.750  0.750
Zr  0.750  0.250  0.250
Zr  0.750  0.250  0.750
Zr  0.750  0.750  0.250
Zr  0.750  0.750  0.750
Tl  0.000  0.000  0.000
Tl  0.000  0.500  0.500
Tl  0.500  0.000  0.500
Tl  0.500  0.500  0.000
W  0.000  0.000  0.500
W  0.000  0.500  0.000
W  0.500  0.000  0.000
W  0.500  0.500  0.500

## Properties
energy relative to the elements	142	meV/atom
N(E_F)	10.52	states/eV per cell
energy above the lowest structure with this stoichiometry	148	meV per atom
energy	-127.38	eV/cell

***

[3]
Here is a geometry-optimized Sm3Dy2Ho3 structure from Alexandria via LeMat-Bulk. Energies are from PBE.

Unit cell a=5.039 b=5.043 c=20.193 alpha=90.00 beta=90.00 gamma=90.00
Positions (direct):
Sm  0.000  0.000  0.000
Sm  0.000  0.500  0.125
Sm  0.000  0.500  0.875
Sm  0.500  0.000  0.375
Sm  0.500  0.000  0.625
Sm  0.500  0.500  0.500
Dy  0.000  0.000  0.250
Dy  0.000  0.000  0.750
Dy  0.500  0.500  0.250
Dy  0.500  0.500  0.750
Ho  0.000  0.000  0.500
Ho  0.000  0.500  0.374
Ho  0.000  0.500  0.626
Ho  0.500  0.000  0.126
Ho  0.500  0.000  0.874
Ho  0.500  0.500  0.000

## Properties
energy relative to the elements	19	meV/atom
N(E_F)	23.04	states/eV per cell
energy above the lowest structure with this stoichiometry	0	meV per atom
energy	-73.88	eV/cell